Record 1
# Tb2ZrBi3 | the Alexandria database | PBE | optimized geometry
data_Tb2ZrBi3
_space_group_name_H-M_alt 'I 4/m m m'
_space_group_IT_number 139
_space_group_name_Hall '-I 4 2'
_cell_length_a 4.4098
_cell_length_b 4.4098
_cell_length_c 18.6398
_cell_angle_alpha 90.00
_cell_angle_beta 90.00
_cell_angle_gamma 90.00
loop_
_atom_site_label
_atom_site_type_symbol
_atom_site_fract_x
_atom_site_fract_y
_atom_site_fract_z
Tb1 Tb 0.0000 0.0000 0.1680
Zr1 Zr 0.0000 0.0000 0.5000
Bi1 Bi 0.0000 0.0000 0.0000
Bi2 Bi 0.0000 0.0000 0.3379
# - crystal system = tetragonal
# - DFT total energy (eV per atom) = -5.53

Record 2
# Tb5ZrBi6 | the Alexandria database | PBE | optimized geometry
data_Tb5ZrBi6
_space_group_name_H-M_alt 'C 1 2/m 1'
_space_group_IT_number 12
_space_group_name_Hall '-C 2y'
_cell_length_a 7.7032
_cell_length_b 13.3393
_cell_length_c 7.6976
_cell_angle_alpha 90.00
_cell_angle_beta 109.56
_cell_angle_gamma 90.00
loop_
_atom_site_label
_atom_site_type_symbol
_atom_site_fract_x
_atom_site_fract_y
_atom_site_fract_z
Tb1 Tb 0.0000 0.0000 0.0000
Tb2 Tb 0.0000 0.1649 0.5000
Tb3 Tb 0.0000 0.3290 0.0000
Zr1 Zr 0.0000 0.5000 0.5000
Bi1 Bi 0.2409 0.5000 0.2517
Bi2 Bi 0.2430 0.3373 0.7432
# - crystal system = monoclinic
# - DFT total energy (eV per atom) = -5.34

Record 3
# TbZr3Bi2 | the Alexandria database | PBE | optimized geometry
data_TbZr3Bi2
_space_group_name_H-M_alt 'C 1 2/m 1'
_space_group_IT_number 12
_space_group_name_Hall '-C 2y'
_cell_length_a 18.1322
_cell_length_b 4.0779
_cell_length_c 9.2817
_cell_angle_alpha 90.00
_cell_angle_beta 113.96
_cell_angle_gamma 90.00
loop_
_atom_site_label
_atom_site_type_symbol
_atom_site_fract_x
_atom_site_fract_y
_atom_site_fract_z
Tb1 Tb 0.1144 0.0000 0.1273
Zr1 Zr 0.0595 0.0000 0.6592
Zr2 Zr 0.1279 0.5000 0.4772
Zr3 Zr 0.1888 0.5000 0.8978
Bi1 Bi 0.0139 0.5000 0.8387
Bi2 Bi 0.2451 0.0000 0.7088
# - crystal system = monoclinic
# - DFT total energy (eV per atom) = -6.65

Number 1: ΔE_f -3.74 eV per formula unit, spin magnetization 0.0 μB/f.u.. Number 2: ΔE_f -9.14 eV per formula unit, spin magnetization 0.0 μB/f.u.. Number 3: ΔE_f -1.84 eV per formula unit, spin magnetization 0.0 μB/f.u..